# Be2Ni2BiO6 PBE with a Hubbard U relaxed
# Calculated total energy: -0.2060 hartree per atom
data_Be2Ni2BiO6
_cell_length_a 5.174
_cell_length_b 5.174
_cell_length_c 5.313
_cell_angle_alpha 90.00
_cell_angle_beta 90.00
_cell_angle_gamma 120.00
_symmetry_space_group_name_H-M 'P 1'
_symmetry_Int_Tables_number 1
loop_
_symmetry_equiv_pos_as_xyz
'x,y,z'
loop_
_atom_site_label
_atom_site_type_symbol
_atom_site_fract_x
_atom_site_fract_y
_atom_site_fract_z
Be1 Be 0.333 0.667 0.823
Be2 Be 0.667 0.333 0.177
Ni1 Ni 0.333 0.667 0.398
Ni2 Ni 0.667 0.333 0.602
Bi1 Bi 0.000 0.000 0.000
O1 O 0.344 0.380 0.756
O2 O 0.036 0.656 0.756
O3 O 0.620 0.964 0.756
O4 O 0.656 0.620 0.244
O5 O 0.964 0.344 0.244
O6 O 0.380 0.036 0.244